Material: ScAgSn
Method: DFT, GGA-PBE
State: optimized geometry

The calculation puts the formation enthalpy at 0 K at -0.35 eV per atom. As for the space group: Pmmm. As for the total DFT energy (no corrections): -28.44 eV/cell.

Cell: 8.4768 5.6822 3.2533 Å, 55.07 89.99 89.99°
Last column: nearest neighbours and their distance in Å.
Atoms (fractional coordinates):
Sn  0.0362  0.1061  0.1862  2 Ag 2.73, 1 Sn 2.95
Sn  0.3839  0.1067  0.1855  2 Ag 2.73, 1 Sn 2.95
Sc  0.7101  0.1064  0.6859  8 Ag 3.14, 4 Sn 3.21, 2 Sc 3.25
Sc  0.2100  0.6064  0.1859  8 Sn 3.20, 2 Sc 3.25, 4 Ag 3.32
Ag  0.5515  0.6067  0.6856  1 Ag 2.69, 2 Sn 2.73
Ag  0.8685  0.6061  0.6864  1 Ag 2.69, 2 Sn 2.73

Material: Sc8Ag2Sn
Method: DFT, GGA-PBE
State: optimized geometry

The calculation puts the relative energy among the computed polymorphs at 0.00 eV per formula unit. The calculation puts the formation enthalpy at 0 K at -0.23 eV per atom. As for the space group: C2/m. As for the total DFT energy (no corrections): -62.84 eV/cell.

Cell: 4.7445 7.6513 8.0398 Å, 115.74 107.16 90.00°
Last column: nearest neighbours and their distance in Å.
Atoms (fractional coordinates):
Sc  0.4017  0.5376  0.8035  2 Ag 2.87, 1 Sn 3.15
Sc  0.3140  0.0434  0.6280  1 Ag 2.87, 4 Sc 2.96-3.06, 1 Sn 3.02
Sc  0.8479  0.7908  0.6959  3 Ag 2.87-3.04, 2 Sn 3.20
Sc  0.1521  0.2092  0.3041  3 Ag 2.87-3.04, 2 Sn 3.20
Sc  0.9412  0.2710  0.8824  1 Ag 2.81, 3 Sc 3.06-3.13
Sc  0.6860  0.9566  0.3720  1 Ag 2.87, 4 Sc 2.96-3.06, 1 Sn 3.02
Sc  0.0588  0.7290  0.1176  1 Ag 2.81, 3 Sc 3.06-3.13
Sc  0.5983  0.4624  0.1965  2 Ag 2.87, 1 Sn 3.15
Ag  0.7887  0.3774  0.5775  7 Sc 2.81-3.04
Ag  0.2113  0.6226  0.4225  7 Sc 2.81-3.04
Sn  0.5000  0.0000  0.0000  8 Sc 3.02-3.20

Material: ScAgSn
Method: DFT, GGA-PBE
State: optimized geometry

The calculation puts the formation enthalpy at 0 K at -0.20 eV per atom. As for the space group: P4/nmm. As for the total DFT energy (no corrections): -27.57 eV/cell.

Cell: 4.3442 4.3442 7.1677 Å, 90.00 90.00 90.00°
Last column: nearest neighbours and their distance in Å.
Atoms (fractional coordinates):
Sc  0.5000  0.5000  0.5000  4 Ag 3.02, 4 Sc 3.07, 4 Sn 3.11
Sc  0.0000  0.0000  0.5000  4 Ag 3.02, 4 Sc 3.07, 4 Sn 3.11
Ag  0.0000  0.5000  0.7928  5 Sn 2.84-3.07, 4 Sc 3.02
Ag  0.5000  0.0000  0.2072  5 Sn 2.84-3.07, 4 Sc 3.02
Sn  0.5000  0.0000  0.8113  5 Ag 2.84-3.07, 4 Sc 3.11
Sn  0.0000  0.5000  0.1887  5 Ag 2.84-3.07, 4 Sc 3.11

Material: Sc2AgSn
Method: DFT, GGA-PBE
State: optimized geometry

The calculation puts the formation enthalpy at 0 K at -0.42 eV per atom. As for the space group: P4/mmm. As for the total DFT energy (no corrections): -21.21 eV/cell.

Cell: 3.4928 3.4928 7.0456 Å, 90.00 90.00 90.00°
Last column: nearest neighbours and their distance in Å.
Atoms (fractional coordinates):
Sc  0.0000  0.0000  0.7615  4 Ag 2.99, 4 Sn 3.08
Sc  0.0000  0.0000  0.2385  4 Ag 2.99, 4 Sn 3.08
Sn  0.5000  0.5000  0.5000  8 Sc 3.08
Ag  0.5000  0.5000  0.0000  8 Sc 2.99

Material: Sc2AgSn
Method: DFT, GGA-PBE
State: optimized geometry

The calculation puts the formation enthalpy at 0 K at -0.46 eV per atom. As for the space group: P4/mmm. As for the total DFT energy (no corrections): -21.37 eV/cell.

Cell: 3.9456 4.6642 4.6642 Å, 90.00 90.00 90.00°
Last column: nearest neighbours and their distance in Å.
Atoms (fractional coordinates):
Sc  0.0000  0.5000  0.0000  4 Sn 3.05, 4 Ag 3.05, 4 Sc 3.30
Sc  0.0000  0.0000  0.5000  4 Sn 3.05, 4 Ag 3.05, 4 Sc 3.30
Sn  0.5000  0.0000  0.0000  8 Sc 3.05, 4 Ag 3.30
Ag  0.5000  0.5000  0.5000  8 Sc 3.05, 4 Sn 3.30

Material: ScAgSn
Method: DFT, GGA-PBE
State: optimized geometry

The calculation puts the formation enthalpy at 0 K at -0.46 eV per atom. As for the space group: P-62m. As for the total DFT energy (no corrections): -43.67 eV/cell.

Cell: 4.3441 7.1932 7.1932 Å, 120.00 90.00 90.00°
Last column: nearest neighbours and their distance in Å.
Atoms (fractional coordinates):
Sc  0.5000  0.4317  0.4317  5 Sn 3.04-3.11, 2 Ag 3.17
Sc  0.5000  0.0000  0.5683  5 Sn 3.04-3.11, 2 Ag 3.17
Sc  0.5000  0.5683  0.0000  5 Sn 3.04-3.11, 2 Ag 3.17
Ag  0.0000  0.7520  0.7520  4 Sn 2.76-2.81
Ag  0.0000  0.2480  0.0000  4 Sn 2.76-2.81
Ag  0.0000  0.0000  0.2480  4 Sn 2.76-2.81
Sn  0.0000  0.3333  0.6667  3 Ag 2.76, 6 Sc 3.04
Sn  0.0000  0.6667  0.3333  3 Ag 2.76, 6 Sc 3.04
Sn  0.5000  0.0000  0.0000  6 Ag 2.81, 3 Sc 3.11

Material: ScAg4Sn
Method: DFT, GGA-PBE
State: optimized geometry

The calculation puts the relative energy among the computed polymorphs at 0.00 eV per formula unit. The calculation puts the formation enthalpy at 0 K at -0.15 eV per atom. As for the space group: P6/mmm. As for the total DFT energy (no corrections): -22.65 eV/cell.

Cell: 4.8155 4.8155 5.9417 Å, 90.00 90.00 120.00°
Last column: nearest neighbours and their distance in Å.
Atoms (fractional coordinates):
Sn  0.0000  0.0000  0.0000  2 Sc 2.97, 12 Ag 3.17
Ag  0.3333  0.6667  0.2573  5 Ag 2.78-3.06
Ag  0.6667  0.3333  0.2573  5 Ag 2.78-3.06
Ag  0.3333  0.6667  0.7427  5 Ag 2.78-3.06
Ag  0.6667  0.3333  0.7427  5 Ag 2.78-3.06
Sc  0.0000  0.0000  0.5000  2 Sn 2.97, 12 Ag 3.13

Material: Sc8Ag2Sn
Method: DFT, GGA-PBE
State: optimized geometry

The calculation puts the relative energy among the computed polymorphs at 1.14 eV per formula unit. The calculation puts the formation enthalpy at 0 K at -0.12 eV per atom. As for the space group: C2/m. As for the total DFT energy (no corrections): -61.69 eV/cell.

Cell: 4.9799 7.9172 7.9172 Å, 118.20 100.41 100.41°
Last column: nearest neighbours and their distance in Å.
Atoms (fractional coordinates):
Ag  0.0000  0.3049  0.6951  6 Sc 2.71-3.01
Ag  0.0000  0.6951  0.3049  6 Sc 2.71-3.01
Sc  0.1080  0.0949  0.3219  2 Ag 2.84-3.05, 2 Sc 3.08-3.17
Sc  0.3009  0.5993  0.5993  4 Sc 2.86-3.20, 2 Ag 3.01, 1 Sn 3.05
Sc  0.8920  0.9051  0.6781  2 Ag 2.84-3.05, 2 Sc 3.08-3.17
Sc  0.8920  0.6781  0.9051  2 Ag 2.84-3.05, 2 Sc 3.08-3.17
Sc  0.1080  0.3219  0.0949  2 Ag 2.84-3.05, 2 Sc 3.08-3.17
Sc  0.5000  0.7745  0.2255  2 Ag 2.71
Sc  0.6991  0.4007  0.4007  4 Sc 2.86-3.20, 2 Ag 3.01, 1 Sn 3.05
Sc  0.5000  0.2255  0.7745  2 Ag 2.71
Sn  0.5000  0.0000  0.0000  12 Sc 3.05-3.37

Material: ScAg2Sn
Method: DFT, GGA-PBE
State: optimized geometry

The calculation puts the formation enthalpy at 0 K at -0.08 eV per atom. As for the space group: I-42d. As for the total DFT energy (no corrections): -32.73 eV/cell.

Cell: 4.1678 4.1678 10.6028 Å, 78.67 78.67 90.00°
Last column: nearest neighbours and their distance in Å.
Atoms (fractional coordinates):
Sn  0.0000  0.0000  0.0000  4 Ag 2.94, 4 Sc 2.95
Sn  0.7500  0.2500  0.5000  4 Ag 2.94, 4 Sc 2.95
Ag  0.8750  0.8783  0.7500  4 Ag 2.93-2.97, 2 Sn 2.94, 2 Sc 2.95
Ag  0.6283  0.1250  0.2500  4 Ag 2.93-2.97, 2 Sn 2.94, 2 Sc 2.95
Ag  0.3750  0.3717  0.7500  4 Ag 2.93-2.97, 2 Sn 2.94, 2 Sc 2.95
Ag  0.1217  0.6250  0.2500  4 Ag 2.93-2.97, 2 Sn 2.94, 2 Sc 2.95
Sc  0.2500  0.7500  0.5000  4 Ag 2.95, 4 Sn 2.95
Sc  0.5000  0.5000  0.0000  4 Ag 2.95, 4 Sn 2.95

Material: ScAg2Sn
Method: DFT, GGA-PBE
State: optimized geometry

The calculation puts the formation enthalpy at 0 K at -0.28 eV per atom. As for the space group: P4/mmm. As for the total DFT energy (no corrections): -17.17 eV/cell.

Cell: 4.4552 4.2701 4.2701 Å, 90.00 90.00 90.00°
Last column: nearest neighbours and their distance in Å.
Atoms (fractional coordinates):
Sc  0.5000  0.0000  0.0000  4 Sn 3.02, 8 Ag 3.09
Ag  0.0000  0.5000  0.0000  4 Ag 3.02, 4 Sn 3.09, 4 Sc 3.09
Ag  0.0000  0.0000  0.5000  4 Ag 3.02, 4 Sn 3.09, 4 Sc 3.09
Sn  0.5000  0.5000  0.5000  4 Sc 3.02, 8 Ag 3.09

Material: ScAgSn4
Method: DFT, GGA-PBE
State: optimized geometry

The calculation puts the formation enthalpy at 0 K at -0.16 eV per atom. As for the space group: I4/mcm. As for the total DFT energy (no corrections): -52.29 eV/cell.

Cell: 6.7205 6.7205 8.1149 Å, 114.46 114.46 90.00°
Last column: nearest neighbours and their distance in Å.
Atoms (fractional coordinates):
Sn  0.7255  0.5419  0.7674  2 Ag 2.96, 2 Sn 3.01-3.06, 2 Sc 3.08
Sn  0.2745  0.4581  0.2326  2 Ag 2.96, 2 Sn 3.01-3.06, 2 Sc 3.08
Sn  0.0419  0.2255  0.7674  2 Ag 2.96, 2 Sn 3.01-3.06, 2 Sc 3.08
Sn  0.2255  0.7255  0.7674  2 Ag 2.96, 2 Sn 3.01-3.06, 2 Sc 3.08
Sn  0.9581  0.7745  0.2326  2 Ag 2.96, 2 Sn 3.01-3.06, 2 Sc 3.08
Sn  0.5419  0.0419  0.7674  2 Ag 2.96, 2 Sn 3.01-3.06, 2 Sc 3.08
Sn  0.7745  0.2745  0.2326  2 Ag 2.96, 2 Sn 3.01-3.06, 2 Sc 3.08
Sn  0.4581  0.9581  0.2326  2 Ag 2.96, 2 Sn 3.01-3.06, 2 Sc 3.08
Ag  0.0000  0.0000  0.0000  8 Sn 2.96, 2 Sc 3.29
Ag  0.5000  0.5000  0.0000  8 Sn 2.96, 2 Sc 3.29
Sc  0.2500  0.2500  0.5000  8 Sn 3.08, 2 Ag 3.29
Sc  0.7500  0.7500  0.5000  8 Sn 3.08, 2 Ag 3.29

Material: Sc4Ag2Sn
Method: DFT, GGA-PBE
State: optimized geometry

The calculation puts the formation enthalpy at 0 K at -0.21 eV per atom. As for the space group: R-3m. As for the total DFT energy (no corrections): -36.53 eV/cell.

Cell: 4.8482 4.8482 8.2140 Å, 72.84 72.84 60.00°
Last column: nearest neighbours and their distance in Å.
Atoms (fractional coordinates):
Ag  0.7442  0.7442  0.7675  8 Sc 2.84-3.08
Ag  0.2558  0.2558  0.2325  8 Sc 2.84-3.08
Sc  0.3889  0.3889  0.8334  4 Ag 2.84-3.08, 3 Sn 3.08
Sc  0.8678  0.8678  0.3965  4 Ag 2.87-3.07, 1 Sn 3.06
Sc  0.1322  0.1322  0.6035  4 Ag 2.87-3.07, 1 Sn 3.06
Sc  0.6111  0.6111  0.1666  4 Ag 2.84-3.08, 3 Sn 3.08
Sn  0.0000  0.0000  0.0000  8 Sc 3.06-3.08, 6 Ag 3.33

Material: Sc7Ag2Sn2
Method: DFT, GGA-PBE
State: optimized geometry

The calculation puts the formation enthalpy at 0 K at -0.05 eV per atom. As for the space group: Cmmm. As for the total DFT energy (no corrections): -58.54 eV/cell.

Cell: 6.5293 6.7781 6.5293 Å, 90.01 106.54 89.99°
Last column: nearest neighbours and their distance in Å.
Atoms (fractional coordinates):
Sc  0.5000  0.7511  0.5000  2 Ag 2.81, 2 Sn 2.99
Sc  0.0000  0.0000  0.0000  2 Ag 2.99
Sc  0.0000  0.2692  0.4999  2 Ag 2.70
Sc  0.5000  0.2489  0.5000  2 Ag 2.81, 2 Sn 2.99
Sc  0.4999  0.7308  0.0000  2 Ag 2.70
Sc  0.0000  0.7308  0.5001  2 Ag 2.70
Sc  0.5001  0.2692  0.0000  2 Ag 2.70
Sn  0.1847  0.5000  0.1847  1 Sn 2.88, 6 Sc 2.99-3.09
Sn  0.8153  0.5000  0.8153  1 Sn 2.88, 6 Sc 2.99-3.09
Ag  0.2854  0.0000  0.7146  7 Sc 2.70-2.99
Ag  0.7146  0.0000  0.2854  7 Sc 2.70-2.99

Material: ScAg2Sn2
Method: DFT, GGA-PBE
State: optimized geometry

The calculation puts the relative energy among the computed polymorphs at 0.00 eV per formula unit. The calculation puts the formation enthalpy at 0 K at -0.11 eV per atom. As for the space group: I4/mmm. As for the total DFT energy (no corrections): -20.58 eV/cell.

Cell: 4.1720 4.1720 7.1776 Å, 73.10 73.10 90.00°
Last column: nearest neighbours and their distance in Å.
Atoms (fractional coordinates):
Sc  0.0000  0.0000  0.0000  8 Sn 3.26
Sn  0.3948  0.3948  0.2104  1 Sn 2.75, 4 Ag 2.82
Sn  0.6052  0.6052  0.7896  1 Sn 2.75, 4 Ag 2.82
Ag  0.2500  0.7500  0.5000  4 Sn 2.82, 4 Ag 2.95
Ag  0.7500  0.2500  0.5000  4 Sn 2.82, 4 Ag 2.95

Material: Sc6Ag5Sn
Method: DFT, GGA-PBE
State: optimized geometry

The calculation puts the formation enthalpy at 0 K at -0.34 eV per atom. As for the space group: Immm. As for the total DFT energy (no corrections): -60.39 eV/cell.

Cell: 4.8749 6.9516 8.4667 Å, 114.24 106.73 90.00°
Last column: nearest neighbours and their distance in Å.
Atoms (fractional coordinates):
Sc  0.8308  0.5765  0.6616  7 Ag 2.94-3.01, 1 Sn 3.04
Sc  0.8308  0.0851  0.6616  7 Ag 2.94-3.01, 1 Sn 3.04
Sc  0.5000  0.2578  0.0000  6 Ag 2.96-3.03, 2 Sn 3.03
Sc  0.1692  0.9149  0.3384  7 Ag 2.94-3.01, 1 Sn 3.04
Sc  0.5000  0.7422  0.0000  6 Ag 2.96-3.03, 2 Sn 3.03
Sc  0.1692  0.4235  0.3384  7 Ag 2.94-3.01, 1 Sn 3.04
Ag  0.6670  0.1670  0.3341  8 Sc 2.94-3.03
Ag  0.3342  0.3342  0.6684  8 Sc 2.96-2.99
Ag  0.3330  0.8330  0.6659  8 Sc 2.94-3.03
Ag  0.0000  0.5000  0.0000  8 Sc 2.96-3.01
Ag  0.6658  0.6658  0.3316  8 Sc 2.96-2.99
Sn  0.0000  0.0000  0.0000  8 Sc 3.03-3.04

Material: ScAgSn
Method: DFT, GGA-PBE
State: optimized geometry

The calculation puts the formation enthalpy at 0 K at -0.26 eV per atom. As for the space group: I4mm. As for the total DFT energy (no corrections): -13.96 eV/cell.

Cell: 3.3479 3.3479 6.2511 Å, 105.53 105.53 90.00°
Last column: nearest neighbours and their distance in Å.
Atoms (fractional coordinates):
Sn  0.2791  0.2791  0.5581  4 Ag 3.06, 4 Sc 3.16, 4 Sn 3.35
Ag  0.6112  0.6112  0.2224  4 Sc 2.95, 4 Sn 3.06
Sc  0.9597  0.9597  0.9195  4 Ag 2.95, 4 Sn 3.16

Material: ScAg4Sn
Method: DFT, GGA-PBE
State: optimized geometry

The calculation puts the relative energy among the computed polymorphs at 0.50 eV per formula unit. The calculation puts the formation enthalpy at 0 K at -0.07 eV per atom. As for the space group: F-43m. As for the total DFT energy (no corrections): -22.15 eV/cell.

Cell: 5.5506 5.5506 5.5506 Å, 60.00 60.00 60.00°
Last column: nearest neighbours and their distance in Å.
Atoms (fractional coordinates):
Sn  0.2500  0.2500  0.2500  12 Ag 3.26, 4 Sc 3.40
Ag  0.1238  0.6254  0.6254  6 Ag 2.77-2.78
Ag  0.6254  0.6254  0.6254  6 Ag 2.77-2.78
Ag  0.6254  0.1238  0.6254  6 Ag 2.77-2.78
Ag  0.6254  0.6254  0.1238  6 Ag 2.77-2.78
Sc  0.0000  0.0000  0.0000  12 Ag 3.25, 4 Sn 3.40

Material: ScAgSn
Method: DFT, GGA-PBE
State: optimized geometry

The calculation puts the formation enthalpy at 0 K at -0.34 eV per atom. As for the space group: Cm. As for the total DFT energy (no corrections): -28.41 eV/cell.

Cell: 7.6951 4.6589 4.6590 Å, 60.02 107.79 107.78°
Last column: nearest neighbours and their distance in Å.
Atoms (fractional coordinates):
Sc  0.8461  0.2794  0.9220  1 Ag 2.78, 3 Sn 3.10
Sc  0.3642  0.1175  0.7600  6 Ag 2.85-3.12
Ag  0.2317  0.4064  0.0488  4 Sc 2.78-2.85, 4 Sn 2.85-2.89
Ag  0.5840  0.8580  0.5006  3 Sn 2.71
Sn  0.6325  0.5409  0.1834  4 Ag 2.71-2.89
Sn  0.1018  0.6964  0.3389  3 Ag 2.85

Material: Sc2AgSn
Method: DFT, GGA-PBE
State: optimized geometry

The calculation puts the formation enthalpy at 0 K at 0.10 eV per atom. As for the space group: I-42d. As for the total DFT energy (no corrections): -38.25 eV/cell.

Cell: 4.3609 4.3609 10.6270 Å, 78.16 78.16 90.00°
Last column: nearest neighbours and their distance in Å.
Atoms (fractional coordinates):
Sn  0.7500  0.2500  0.5000  4 Sc 2.96, 4 Ag 3.08
Sn  0.0000  0.0000  0.0000  4 Sc 2.96, 4 Ag 3.08
Sc  0.8750  0.8825  0.7500  2 Sn 2.96, 2 Ag 2.99, 4 Sc 3.04-3.13
Sc  0.1175  0.6250  0.2500  2 Sn 2.96, 2 Ag 2.99, 4 Sc 3.04-3.13
Sc  0.3750  0.3675  0.7500  2 Sn 2.96, 2 Ag 2.99, 4 Sc 3.04-3.13
Sc  0.6325  0.1250  0.2500  2 Sn 2.96, 2 Ag 2.99, 4 Sc 3.04-3.13
Ag  0.2500  0.7500  0.5000  4 Sc 2.99, 4 Sn 3.08
Ag  0.5000  0.5000  0.0000  4 Sc 2.99, 4 Sn 3.08

Material: Sc2AgSn
Method: DFT, GGA-PBE
State: optimized geometry

The calculation puts the formation enthalpy at 0 K at 0.08 eV per atom. As for the space group: R-3m. As for the total DFT energy (no corrections): -19.18 eV/cell.

Cell: 10.7162 10.7162 10.7162 Å, 17.52 17.52 17.52°
Last column: nearest neighbours and their distance in Å.
Atoms (fractional coordinates):
Sc  0.9065  0.9065  0.9065  1 Sn 2.96, 3 Ag 2.99, 6 Sc 3.26
Sc  0.0935  0.0935  0.0935  1 Sn 2.96, 3 Ag 2.99, 6 Sc 3.26
Ag  0.5000  0.5000  0.5000  6 Sc 2.99, 6 Ag 3.26
Sn  0.0000  0.0000  0.0000  2 Sc 2.96, 6 Sn 3.26